[1]
Entry from Alexandria via LeMat-Bulk: a relaxed BaVCuS4 crystal (PBE-GGA).

It has space group I-4 (No. 82), with a = 6.5948 Å, b = 6.5948 Å, c = 9.3608 Å, α = 90.00°, β = 90.00° and γ = 90.00°. The distinct sites, in fractional coordinates, are Ba at (0.0000, 0.0000, 0.0000), V at (0.0000, 0.5000, 0.7500), Cu at (0.0000, 0.0000, 0.5000) and S at (0.1406, 0.2537, 0.6323).

The value obtained for the calculated total energy is -5.54 eV per atom.


[2]
Entry from Alexandria via LeMat-Bulk: a relaxed K4NdPu3S8 crystal (PBE-GGA).

It has space group R-3m (No. 166, hexagonal axes), with a = 8.2758 Å, b = 8.2758 Å, c = 22.0230 Å, α = 90.00°, β = 90.00° and γ = 120.00°. The distinct sites, in fractional coordinates, are K at (0.0000, 0.0000, 0.0000), K at (0.0000, 0.5000, 0.0000), Nd at (0.0000, 0.0000, 0.5000), Pu at (0.0000, 0.5000, 0.5000), S at (0.0000, 0.0000, 0.2324) and S at (0.0056, 0.5028, 0.7655).

The value obtained for the calculated total energy is -6.97 eV per atom.


[3]
Entry from Alexandria via LeMat-Bulk: a relaxed BaInAs crystal (PBE-GGA).

It has space group P3m1 (No. 156), with a = 4.5450 Å, b = 4.5450 Å, c = 5.6876 Å, α = 90.00°, β = 90.00° and γ = 120.00°. The distinct sites, in fractional coordinates, are Ba at (0.0000, 0.0000, 0.0000), In at (0.3333, 0.6667, 0.5570) and As at (0.6667, 0.3333, 0.3431).

The formation energy from the elements is -16.403 kcal/mol of atoms.


[4]
Entry from Alexandria via LeMat-Bulk: a relaxed TaFe2Tc crystal (PBE-GGA).

It has space group I-42d (No. 122), with a = 3.6022 Å, b = 3.6022 Å, c = 18.8819 Å, α = 90.00°, β = 90.00° and γ = 90.00°. The distinct sites, in fractional coordinates, are Ta at (0.0000, 0.0000, 0.0000), Fe at (0.2443, 0.2500, 0.6250) and Tc at (0.0000, 0.0000, 0.5000).

As for the excess energy over the best structure of this formula in the dataset: 625 meV/atom. The formation energy from the elements is 12.594 kcal/mol of atoms.


[5]
Entry from Alexandria via LeMat-Bulk: a relaxed Y2ErTm crystal (PBE-GGA).

It has space group P4/mmm (No. 123), with a = 3.5363 Å, b = 3.5363 Å, c = 10.0005 Å, α = 90.00°, β = 90.00° and γ = 90.00°. The distinct sites, in fractional coordinates, are Y at (0.0000, 0.0000, 0.2494), Er at (0.5000, 0.5000, 0.5000) and Tm at (0.5000, 0.5000, 0.0000).

As for the excess energy over the best structure of this formula in the dataset: 27 meV/atom. The formation energy from the elements is 0.639 kcal/mol of atoms.


[6]
Entry from Alexandria via LeMat-Bulk: a relaxed YTmCdOs crystal (PBE-GGA).

It has space group F-43m (No. 216), with a = 7.0540 Å, b = 7.0540 Å, c = 7.0540 Å, α = 90.00°, β = 90.00° and γ = 90.00°. The distinct sites, in fractional coordinates, are Y at (0.0000, 0.0000, 0.0000), Tm at (0.0000, 0.0000, 0.5000), Cd at (0.2500, 0.2500, 0.7500) and Os at (0.2500, 0.2500, 0.2500).

As for the excess energy over the best structure of this formula in the dataset: 98 meV/atom. The formation energy from the elements is -5.375 kcal/mol of atoms.